Ag5AuO3 | PBE-GGA | relaxed

Total magnetization: 0.00 μB per formula unit
Formation energy (no corrections): 0.096 eV/atom
E: -63.1 eV per cell

Cell lengths 6.459, 6.459, 8.566 Å; angles 113.58, 113.58, 76.65 degrees
Element x y z (fractional)
1 Ag 0.065 0.065 0.349
2 Ag 0.116 0.566 0.315
3 Ag 0.218 0.782 0.000
4 Ag 0.244 0.244 0.968
5 Ag 0.434 0.884 0.685
6 Ag 0.566 0.116 0.315
7 Ag 0.756 0.756 0.032
8 Ag 0.782 0.218 0.000
9 Ag 0.884 0.434 0.685
10 Ag 0.935 0.935 0.651
11 Au 0.436 0.436 0.707
12 Au 0.564 0.564 0.293
13 O 0.169 0.169 0.174
14 O 0.190 0.190 0.663
15 O 0.500 0.500 0.000
16 O 0.500 0.500 0.500
17 O 0.810 0.810 0.337
18 O 0.831 0.831 0.826